No. 1
Here is a geometry-optimized NaAl2CoNi structure from Alexandria. Energies are from PBE.

Cell: 4.479 4.630 4.479 Å, 90.00 90.00 90.00°
Element x y z (fractional)
Ni 0.000 0.000 0.000
Co 0.000 0.500 0.000
Al 0.000 0.000 0.500
Al 0.500 0.000 0.000
Na 0.500 0.500 0.500

Properties
The calculation puts the total energy at -4.08 eV/atom. The formation energy is 1.3 eV/f.u. The calculation puts the theoretical density at 3.48 g cm⁻³.


No. 2
Here is a geometry-optimized TeSN2F structure from Alexandria. Energies are from PBE.

Cell: 4.157 4.157 3.911 Å, 90.00 90.00 90.00°
Element x y z (fractional)
N 0.000 0.500 0.000
N 0.500 0.000 0.000
S 0.000 0.000 0.500
Te 0.500 0.500 0.500
F 0.000 0.000 0.000

Properties
The calculation puts the total energy at -3.09 eV/atom. As for the excess energy over the best structure of this formula in the dataset: 964.9 meV per atom. The calculation puts the theoretical density at 5.08 g cm⁻³. The calculation puts the raw formation energy at 2.0686 eV per atom.


No. 3
Here is a geometry-optimized NaTiCr2Fe structure from Alexandria. Energies are from PBE.

Cell: 4.331 4.774 4.331 Å, 90.00 90.00 90.00°
Element x y z (fractional)
Cr 0.000 0.000 0.500
Cr 0.500 0.000 0.000
Na 0.000 0.500 0.000
Fe 0.000 0.000 0.000
Ti 0.500 0.500 0.500

Properties
The calculation puts the total energy at -6.16 eV/atom. The formation energy is 6.1 eV/f.u. The calculation puts the theoretical density at 4.28 g cm⁻³.


No. 4
Here is a geometry-optimized Tb2NbCo2 structure from Alexandria. Energies are from PBE.

Cell: 3.862 5.683 5.683 Å, 58.22 70.13 70.14°
Element x y z (fractional)
Tb 0.297 0.203 0.703
Tb 0.703 0.797 0.297
Nb 0.500 0.500 0.000
Co 0.000 0.221 0.279
Co 0.000 0.779 0.721

Properties
The calculation puts the total energy at -6.88 eV/atom. The formation energy is -0.8 eV/f.u. The calculation puts the theoretical density at 8.99 g cm⁻³.


Number 1: volume 92.9 Å³/cell. Number 2: volume 67.6 Å³/cell. Number 3: volume 89.6 Å³/cell. Number 4: volume 97.7 Å³/cell.